The following is a DFT calculation (PBE) of an optimized crystal structure of Pm5Sn2Sb.

## Properties
Its total energy is -5.2259 eV per atom. For the calculated density, the calculation gives 7.153 g/cm3. The calculation puts the energy above the most stable polymorph in this dataset at 0.00 eV per formula unit. The volume is 251.69 Å³/f.u.

Unit cell a=8.4529 b=12.7083 c=4.6860 alpha=90.00 beta=90.00 gamma=90.00
Last column: nearest neighbours and their distance in Å.
Sites, in units of the cell vectors:
1 Pm 0.0000 0.0000 0.0000  4 Sn 3.29, 4 Pm 3.50
2 Pm 0.1545 0.2826 0.0000  1 Sb 3.06, 4 Sn 3.30-3.35
3 Pm 0.2125 0.5726 0.5000  2 Sb 3.09, 2 Sn 3.35-3.42
4 Pm 0.2875 0.0726 0.5000  2 Sb 3.09, 2 Sn 3.35-3.42
5 Pm 0.3455 0.7826 0.0000  1 Sb 3.06, 4 Sn 3.30-3.35
6 Pm 0.5000 0.5000 0.0000  4 Sn 3.29, 4 Pm 3.50
7 Pm 0.6545 0.2174 0.0000  1 Sb 3.06, 4 Sn 3.30-3.35
8 Pm 0.7125 0.9274 0.5000  2 Sb 3.09, 2 Sn 3.35-3.42
9 Pm 0.7875 0.4274 0.5000  2 Sb 3.09, 2 Sn 3.35-3.42
10 Pm 0.8455 0.7174 0.0000  1 Sb 3.06, 4 Sn 3.30-3.35
11 Sn 0.0778 0.8260 0.5000  9 Pm 3.29-3.60
12 Sn 0.4222 0.3260 0.5000  9 Pm 3.29-3.60
13 Sn 0.5778 0.6740 0.5000  9 Pm 3.29-3.60
14 Sn 0.9222 0.1740 0.5000  9 Pm 3.29-3.60
15 Sb 0.0000 0.5000 0.0000  6 Pm 3.06-3.09
16 Sb 0.5000 0.0000 0.0000  6 Pm 3.06-3.09